Entry 1:
PrThCdAu after structural relaxation. Source: Alexandria, functional PBE-GGA.

Cell and atoms, written as POSCAR:
```
PrThCdAu
1.0
-1.196 3.971 3.400
1.536 -0.307 5.129
3.878 3.218 1.835
Pr Au Th Cd
1 1 1 1
direct
0.750 0.750 0.750
0.500 0.500 0.500
0.250 0.250 0.250
0.000 0.000 0.000
```

## Properties
Its total energy is -4.451 eV/atom.



Entry 2:
PrTlCdAu after structural relaxation. Source: Alexandria, functional PBE-GGA.

Cell and atoms, written as POSCAR:
```
PrTlCdAu
1.0
5.194 0.000 0.000
2.597 4.498 0.000
2.597 1.499 4.241
Pr Tl Au Cd
1 1 1 1
direct
0.500 0.500 0.500
0.750 0.750 0.750
0.250 0.250 0.250
0.000 0.000 0.000
```

## Properties
Its total energy is -3.262 eV/atom.



Entry 3:
Pr4Tl2CdAu after structural relaxation. Source: Alexandria, functional PBE-GGA.

Cell and atoms, written as POSCAR:
```
Pr4Tl2CdAu
1.0
5.493 0.000 0.000
2.747 4.757 0.000
2.747 1.586 8.940
Pr Tl Cd Au
4 2 1 1
direct
0.381 0.381 0.857
0.870 0.870 0.391
0.130 0.130 0.609
0.619 0.619 0.143
0.744 0.744 0.768
0.256 0.256 0.232
0.000 0.000 0.000
0.500 0.500 0.500
```

## Properties
Its total energy is -3.957 eV/atom.



Entry 4:
PrTmCd2Au4 after structural relaxation. Source: Alexandria, functional PBE-GGA.

Cell and atoms, written as POSCAR:
```
PrTmCd2Au4
1.0
4.982 0.000 0.000
2.491 4.314 0.000
2.491 1.438 8.142
Pr Tm Cd Au
1 1 2 4
direct
0.000 0.000 0.000
0.500 0.500 0.500
0.749 0.749 0.752
0.251 0.251 0.248
0.381 0.381 0.858
0.870 0.870 0.391
0.130 0.130 0.609
0.619 0.619 0.142
```

## Properties
Its total energy is -3.674 eV/atom.



Entry 5:
PrTm2CdAu4 after structural relaxation. Source: Alexandria, functional PBE-GGA.

Cell and atoms, written as POSCAR:
```
PrTm2CdAu4
1.0
-3.944 -2.981 -0.440
-1.467 -1.530 -4.489
3.313 -8.372 -0.975
Pr Tm Cd Au
1 2 1 4
direct
0.000 0.000 0.000
0.761 0.761 0.717
0.239 0.239 0.283
0.500 0.500 0.500
0.385 0.385 0.846
0.879 0.879 0.363
0.121 0.121 0.637
0.615 0.615 0.154
```

## Properties
Its total energy is -4.190 eV/atom.



Entry 6:
PrZn2CdAu5 after structural relaxation. Source: Alexandria, functional PBE-GGA.

Cell and atoms, written as POSCAR:
```
PrZn2CdAu5
1.0
-2.568 -0.535 -4.144
1.166 -4.763 -0.108
-6.379 -1.656 4.167
Pr Zn Cd Au
1 2 1 5
direct
0.000 0.000 0.500
0.500 0.500 0.155
0.500 0.500 0.845
0.000 0.000 0.000
0.000 0.500 0.248
0.500 0.000 0.248
0.000 0.500 0.752
0.500 0.000 0.752
0.500 0.500 0.500
```

## Properties
Its total energy is -3.023 eV/atom.



It is found that the D(E_F) values, taken in the order of the records, are 1.178, 0.626, 1.111, 0.520, 0.512, 0.235 states/eV per atom.